Entry i
A plane-wave DFT calculation with GGA-PBE was carried out for an optimized crystal structure of SrHf2V2.

Summary:
Calculated volume, Å³/cell: 226.8
Size of the total moment, μB per cell: 8.6

```
data_SrHf2V2
_chemical_formula_sum 'Sr2 Hf4 V4'
_space_group_name_H-M_alt 'P 4/m b m'
_space_group_IT_number 127
_space_group_name_Hall '-P 4 2ab'
_cell_length_a 8.447
_cell_length_b 8.447
_cell_length_c 3.178
_cell_angle_alpha 90.00
_cell_angle_beta 90.00
_cell_angle_gamma 90.00
loop_
_atom_site_label
_atom_site_type_symbol
_atom_site_fract_x
_atom_site_fract_y
_atom_site_fract_z
_atom_site_occupancy
Sr1 Sr 0.000 0.000 0.000 1
Hf1 Hf 0.128 0.372 0.000 1
V1 V 0.153 0.653 0.500 1
```

=====

Entry ii
A plane-wave DFT calculation with GGA-PBE was carried out for an optimized crystal structure of SrHf2V2.

Summary:
Calculated volume, Å³/cell: 244.9
Size of the total moment, μB per cell: 0.0

```
data_SrHf2V2
_chemical_formula_sum 'Sr2 Hf4 V4'
_space_group_name_H-M_alt 'I 4/m m m'
_space_group_IT_number 139
_space_group_name_Hall '-I 4 2'
_cell_length_a 3.491
_cell_length_b 3.491
_cell_length_c 20.094
_cell_angle_alpha 90.00
_cell_angle_beta 90.00
_cell_angle_gamma 90.00
loop_
_atom_site_label
_atom_site_type_symbol
_atom_site_fract_x
_atom_site_fract_y
_atom_site_fract_z
_atom_site_occupancy
Sr1 Sr 0.000 0.000 0.000 1
Hf1 Hf 0.000 0.000 0.359 1
V1 V 0.000 0.500 0.250 1
```

=====

Q: What are the energies relative to the best structure? A: entry i 0.000; entry ii 0.156, in eV/atom.

=====

Entry i
A plane-wave DFT calculation with GGA-PBE was carried out for an optimized crystal structure of SrHfW2.

Summary:
Calculated volume, Å³/cell: 363.3
Size of the total moment, μB per cell: 0.0

```
data_SrHfW2
_chemical_formula_sum 'Sr4 Hf4 W8'
_space_group_name_H-M_alt 'I -4 2 d'
_space_group_IT_number 122
_space_group_name_Hall 'I -4 2bw'
_cell_length_a 8.012
_cell_length_b 8.012
_cell_length_c 5.659
_cell_angle_alpha 90.00
_cell_angle_beta 90.00
_cell_angle_gamma 90.00
loop_
_atom_site_label
_atom_site_type_symbol
_atom_site_fract_x
_atom_site_fract_y
_atom_site_fract_z
_atom_site_occupancy
Sr1 Sr 0.000 0.000 0.000 1
Hf1 Hf 0.000 0.000 0.500 1
W1 W 0.221 0.250 0.625 1
```

=====

Entry ii
A plane-wave DFT calculation with GGA-PBE was carried out for an optimized crystal structure of SrHfW2.

Summary:
Calculated volume, Å³/cell: 333.7
Size of the total moment, μB per cell: 0.0

```
data_SrHfW2
_chemical_formula_sum 'Sr4 Hf4 W8'
_space_group_name_H-M_alt 'F m -3 m'
_space_group_IT_number 225
_space_group_name_Hall '-F 4 2 3'
_cell_length_a 6.936
_cell_length_b 6.936
_cell_length_c 6.936
_cell_angle_alpha 90.00
_cell_angle_beta 90.00
_cell_angle_gamma 90.00
loop_
_atom_site_label
_atom_site_type_symbol
_atom_site_fract_x
_atom_site_fract_y
_atom_site_fract_z
_atom_site_occupancy
Sr1 Sr 0.000 0.000 0.000 1
Hf1 Hf 0.000 0.000 0.500 1
W1 W 0.250 0.250 0.250 1
```

=====

Q: What are the energies relative to the best structure? A: entry i 0.359; entry ii 0.000, in eV/atom.

=====

Entry i
A plane-wave DFT calculation with GGA-PBE was carried out for an optimized crystal structure of SrHf3W.

Summary:
Calculated volume, Å³/cell: 141.2
Size of the total moment, μB per cell: 0.0

```
data_SrHf3W
_chemical_formula_sum 'Sr1 Hf3 W1'
_space_group_name_H-M_alt 'P m -3 m'
_space_group_IT_number 221
_space_group_name_Hall '-P 4 2 3'
_cell_length_a 5.207
_cell_length_b 5.207
_cell_length_c 5.207
_cell_angle_alpha 90.00
_cell_angle_beta 90.00
_cell_angle_gamma 90.00
loop_
_atom_site_label
_atom_site_type_symbol
_atom_site_fract_x
_atom_site_fract_y
_atom_site_fract_z
_atom_site_occupancy
Sr1 Sr 0.000 0.000 0.000 1
Hf1 Hf 0.000 0.500 0.500 1
W1 W 0.500 0.500 0.500 1
```

=====

Entry ii
A plane-wave DFT calculation with GGA-PBE was carried out for an optimized crystal structure of SrHf3W.

Summary:
Calculated volume, Å³/cell: 119.6
Size of the total moment, μB per cell: 0.0

```
data_SrHf3W
_chemical_formula_sum 'Sr1 Hf3 W1'
_space_group_name_H-M_alt 'P m -3 m'
_space_group_IT_number 221
_space_group_name_Hall '-P 4 2 3'
_cell_length_a 4.927
_cell_length_b 4.927
_cell_length_c 4.927
_cell_angle_alpha 90.00
_cell_angle_beta 90.00
_cell_angle_gamma 90.00
loop_
_atom_site_label
_atom_site_type_symbol
_atom_site_fract_x
_atom_site_fract_y
_atom_site_fract_z
_atom_site_occupancy
Sr1 Sr 0.000 0.000 0.000 1
Hf1 Hf 0.000 0.000 0.500 1
W1 W 0.500 0.500 0.500 1
```

=====

Q: What are the energies relative to the best structure? A: entry i 0.000; entry ii 1.874, in eV/atom.

=====

Entry i
A plane-wave DFT calculation with GGA-PBE was carried out for an optimized crystal structure of Sr2HfW.

Summary:
Calculated volume, Å³/cell: 460.7
Size of the total moment, μB per cell: 7.4

```
data_Sr2HfW
_chemical_formula_sum 'Sr8 Hf4 W4'
_space_group_name_H-M_alt 'F m -3 m'
_space_group_IT_number 225
_space_group_name_Hall '-F 4 2 3'
_cell_length_a 7.724
_cell_length_b 7.724
_cell_length_c 7.724
_cell_angle_alpha 90.00
_cell_angle_beta 90.00
_cell_angle_gamma 90.00
loop_
_atom_site_label
_atom_site_type_symbol
_atom_site_fract_x
_atom_site_fract_y
_atom_site_fract_z
_atom_site_occupancy
Sr1 Sr 0.250 0.250 0.250 1
Hf1 Hf 0.000 0.000 0.000 1
W1 W 0.000 0.000 0.500 1
```

=====

Entry ii
A plane-wave DFT calculation with GGA-PBE was carried out for an optimized crystal structure of Sr2HfW.

Summary:
Calculated volume, Å³/cell: 674.2
Size of the total moment, μB per cell: 0.0

```
data_Sr2HfW
_chemical_formula_sum 'Sr8 Hf4 W4'
_space_group_name_H-M_alt 'I -4 2 d'
_space_group_IT_number 122
_space_group_name_Hall 'I -4 2bw'
_cell_length_a 11.661
_cell_length_b 11.661
_cell_length_c 4.958
_cell_angle_alpha 90.00
_cell_angle_beta 90.00
_cell_angle_gamma 90.00
loop_
_atom_site_label
_atom_site_type_symbol
_atom_site_fract_x
_atom_site_fract_y
_atom_site_fract_z
_atom_site_occupancy
Sr1 Sr 0.087 0.750 0.125 1
Hf1 Hf 0.000 0.000 0.500 1
W1 W 0.000 0.000 0.000 1
```

=====

Q: What are the energies relative to the best structure? A: entry i 0.198; entry ii 0.000, in eV/atom.

=====

Entry i
A plane-wave DFT calculation with GGA-PBE was carried out for an optimized crystal structure of SrYHf2.

Summary:
Calculated volume, Å³/cell: 466.4
Size of the total moment, μB per cell: 0.0

```
data_SrYHf2
_chemical_formula_sum 'Sr4 Y4 Hf8'
_space_group_name_H-M_alt 'I -4 2 d'
_space_group_IT_number 122
_space_group_name_Hall 'I -4 2bw'
_cell_length_a 4.517
_cell_length_b 4.517
_cell_length_c 22.856
_cell_angle_alpha 90.00
_cell_angle_beta 90.00
_cell_angle_gamma 90.00
loop_
_atom_site_label
_atom_site_type_symbol
_atom_site_fract_x
_atom_site_fract_y
_atom_site_fract_z
_atom_site_occupancy
Sr1 Sr 0.000 0.000 0.000 1
Y1 Y 0.000 0.000 0.500 1
Hf1 Hf 0.237 0.250 0.625 1
```

=====

Entry ii
A plane-wave DFT calculation with GGA-PBE was carried out for an optimized crystal structure of SrYHf2.

Summary:
Calculated volume, Å³/cell: 458.8
Size of the total moment, μB per cell: 5.6

```
data_SrYHf2
_chemical_formula_sum 'Sr4 Y4 Hf8'
_space_group_name_H-M_alt 'F m -3 m'
_space_group_IT_number 225
_space_group_name_Hall '-F 4 2 3'
_cell_length_a 7.713
_cell_length_b 7.713
_cell_length_c 7.713
_cell_angle_alpha 90.00
_cell_angle_beta 90.00
_cell_angle_gamma 90.00
loop_
_atom_site_label
_atom_site_type_symbol
_atom_site_fract_x
_atom_site_fract_y
_atom_site_fract_z
_atom_site_occupancy
Sr1 Sr 0.000 0.000 0.000 1
Y1 Y 0.000 0.000 0.500 1
Hf1 Hf 0.250 0.250 0.250 1
```

=====

Q: What are the energies relative to the best structure? A: entry i 0.159; entry ii 0.000, in eV/atom.

=====

Entry i
A plane-wave DFT calculation with GGA-PBE was carried out for an optimized crystal structure of SrHfZn.

Summary:
Calculated volume, Å³/cell: 310.8
Size of the total moment, μB per cell: 0.0

```
data_SrHfZn
_chemical_formula_sum 'Sr4 Hf4 Zn4'
_space_group_name_H-M_alt 'A m m 2'
_space_group_IT_number 38
_cell_length_a 3.372
_cell_length_b 17.257
_cell_length_c 5.341
_cell_angle_alpha 90.00
_cell_angle_beta 90.00
_cell_angle_gamma 90.00
loop_
_space_group_symop_operation_xyz
'x,y,z'
'-x,-y,z'
'-x,y,z'
'x,-y,z'
'x,y+1/2,z+1/2'
'-x,-y+1/2,z+1/2'
'-x,y+1/2,z+1/2'
'x,-y+1/2,z+1/2'
loop_
_atom_site_label
_atom_site_type_symbol
_atom_site_fract_x
_atom_site_fract_y
_atom_site_fract_z
_atom_site_occupancy
Sr1 Sr 0.000 0.179 0.000 1
Hf1 Hf 0.000 0.000 0.620 1
Hf2 Hf 0.500 0.000 0.138 1
Zn1 Zn 0.500 0.131 0.492 1
```

=====

Entry ii
A plane-wave DFT calculation with GGA-PBE was carried out for an optimized crystal structure of SrHfZn.

Summary:
Calculated volume, Å³/cell: 157.3
Size of the total moment, μB per cell: 0.0

```
data_SrHfZn
_chemical_formula_sum 'Sr2 Hf2 Zn2'
_space_group_name_H-M_alt 'P 4/m m m'
_space_group_IT_number 123
_space_group_name_Hall '-P 4 2'
_cell_length_a 3.486
_cell_length_b 3.486
_cell_length_c 12.939
_cell_angle_alpha 90.00
_cell_angle_beta 90.00
_cell_angle_gamma 90.00
loop_
_atom_site_label
_atom_site_type_symbol
_atom_site_fract_x
_atom_site_fract_y
_atom_site_fract_z
_atom_site_occupancy
Sr1 Sr 0.000 0.000 0.169 1
Hf1 Hf 0.500 0.500 0.384 1
Zn1 Zn 0.000 0.000 0.500 1
Zn2 Zn 0.500 0.500 0.000 1
```

=====

Q: What are the energies relative to the best structure? A: entry i 0.000; entry ii 0.072, in eV/atom.